! Y2Ta, relaxed, DFT PBE; values from VASP
&SYSTEM
  ibrav = 0, nat = 12, ntyp = 2
/
ATOMIC_SPECIES
Y 88.91 Y.upf
Ta 180.95 Ta.upf
CELL_PARAMETERS angstrom
5.5042 0.0000 0.0000
0.0000 5.3438 0.0000
0.0000 0.0000 10.6830
ATOMIC_POSITIONS crystal
Y 0.2033 0.2500 0.5082
Y 0.3381 0.7500 0.6777
Y 0.6619 0.2500 0.3223
Y 0.7967 0.7500 0.4918
Y 0.2967 0.7500 0.0082
Y 0.1619 0.2500 0.1777
Y 0.7033 0.2500 0.9918
Y 0.8381 0.7500 0.8223
Ta 0.1877 0.2500 0.8091
Ta 0.3123 0.7500 0.3091
Ta 0.8123 0.7500 0.1909
Ta 0.6877 0.2500 0.6909
! * spin magnetization: 0.00 μB per atom
! * Fermi-level density of states: 1.04 states/eV/atom
! * symmetry: No. 62
! * raw total energy: -23.8 eV/f.u.
! * V: 314.2 Å³ per cell
! * ρ: 7.58 g/cm³
! * ΔE_f: 0.3362 eV per atom